This record from the Alexandria database describes an optimized crystal structure of NiPd2Br. The functional is PBE.

Output
Its offset from the most stable computed form is 0.0 kJ/mol of atoms. The calculation puts the electronic total energy at -0.1477 Ha/atom. For the uncorrected formation energy, the calculation gives 42.6 kJ per mole of atoms. As for the total magnetization: 2.16 μB per cell.

Lattice parameters (Å, degrees): 7.1986 7.1986 5.7428 51.19 51.19 90.00
Each line ends with the local moment (μB).
Atoms (fractional coordinates):
Br 0.7500 0.2500 0.5000  0.04
Br 0.0000 0.0000 0.0000  0.04
Pd 0.3750 0.3980 0.7500  0.19
Pd 0.8750 0.8520 0.7500  0.17
Pd 0.1480 0.6250 0.2500  0.18
Pd 0.6020 0.1250 0.2500  0.20
Ni 0.5000 0.5000 0.0000  0.69
Ni 0.2500 0.7500 0.5000  0.68



This record from the Alexandria database describes an optimized crystal structure of DyHo5Tm3. The functional is PBE.

Output
Its offset from the most stable computed form is 0.0 kJ/mol of atoms. The calculation puts the electronic total energy at -0.1581 Ha/atom. The value obtained for the energy of formation is 23.3 kJ per mole of atoms. As for the total magnetization: 0.00 μB per cell.

Lattice parameters (Å, degrees): 8.7326 9.1393 10.9166 126.32 90.00 118.54
Atoms (fractional coordinates):
Tm 0.0000 0.0000 0.0000
Tm 0.1789 0.4313 0.4655
Tm 0.2524 0.4313 0.9655
Tm 0.8211 0.5687 0.5345
Tm 0.7476 0.5687 0.0345
Tm 0.0000 0.0000 0.5000
Ho 0.5226 0.8059 0.8834
Ho 0.1031 0.6337 0.8343
Ho 0.3282 0.0000 0.7500
Ho 0.7167 0.1941 0.6166
Ho 0.2833 0.8059 0.3834
Ho 0.4774 0.1941 0.1166
Ho 0.5306 0.6337 0.3343
Ho 0.8969 0.3663 0.1657
Ho 0.4694 0.3663 0.6657
Ho 0.6718 0.0000 0.2500
Dy 0.7637 0.0000 0.7500
Dy 0.2363 0.0000 0.2500



It is found that the theoretical density values, taken in the order of the records, are 8.47, 8.78 Mg/m³.